No. 1
MgNi3 | PBE-GGA | relaxed

E: -4.646 eV/atom
Space group: Pm-3m, No. 221

Cell: 3.635 3.635 3.635 Å, 90.00 90.00 90.00°
Positions (direct):
1 Mg 0.000 0.000 0.000
2 Ni 0.000 0.500 0.500
3 Ni 0.500 0.000 0.500
4 Ni 0.500 0.500 0.000


No. 2
Mg2Ni | PBE-GGA | relaxed

E: -1.896 eV/atom
Space group: Fd-3m, No. 227

Cell: 7.833 7.833 7.833 Å, 60.00 60.00 60.00°
Positions (direct):
1 Mg 0.000 0.000 0.000
2 Mg 0.000 0.000 0.500
3 Mg 0.000 0.500 0.000
4 Mg 0.500 0.000 0.000
5 Ni 0.125 0.125 0.125
6 Ni 0.875 0.875 0.875


No. 3
Mg2Ni | PBE-GGA | relaxed

E: -2.881 eV/atom
Space group: Pmmn, No. 59

Cell: 4.590 8.623 4.908 Å, 90.00 90.00 90.00°
Positions (direct):
1 Mg 0.250 0.066 0.136
2 Mg 0.250 0.250 0.594
3 Mg 0.250 0.434 0.136
4 Mg 0.250 0.750 0.056
5 Mg 0.750 0.250 0.944
6 Mg 0.750 0.566 0.864
7 Mg 0.750 0.750 0.406
8 Mg 0.750 0.934 0.864
9 Ni 0.250 0.590 0.592
10 Ni 0.250 0.910 0.592
11 Ni 0.750 0.090 0.408
12 Ni 0.750 0.410 0.408


No. 4
MgNi3 | PBE-GGA | relaxed

E: -4.694 eV/atom
Space group: P-4m2, No. 115

Cell: 4.731 4.731 6.712 Å, 90.00 90.00 90.00°
Positions (direct):
1 Mg 0.000 0.000 0.000
2 Mg 0.000 0.500 0.265
3 Mg 0.500 0.000 0.735
4 Ni 0.000 0.252 0.624
5 Ni 0.000 0.748 0.624
6 Ni 0.252 0.000 0.376
7 Ni 0.252 0.500 0.872
8 Ni 0.500 0.252 0.128
9 Ni 0.500 0.500 0.500
10 Ni 0.500 0.748 0.128
11 Ni 0.748 0.000 0.376
12 Ni 0.748 0.500 0.872